A relaxed structure of MgBRu2. Source: Alexandria via LeMat-Bulk, functional GGA-PBE.

Computed properties:
- Magnetization: 0.7 μB/f.u.
- Energy of formation from the pure elements: -0.10 eV per atom

a = 2.9405 Å, b = 2.9405 Å, c = 21.3442 Å
α = 90.00°, β = 90.00°, γ = 120.00°
Space group R-3m (No. 166, hexagonal axes)
Inequivalent atoms, fractional coordinates:
Mg  0.0000  0.0000  0.0000 [3 per cell]
B  0.0000  0.0000  0.5000 [3 per cell]
Ru  0.0000  0.0000  0.2266 [6 per cell]